1.
DFT (GGA-PBE) results for YPaTl2O8 after structural relaxation.

Calculated values
Energy relative to the elements, uncorrected in eV/atom: -1.78
Space group: No. 119
DFT total energy in eV per cell: -81.76

abc: 6.2547 6.2547 6.2547
angles: 111.41 111.41 105.66
With the nearest neighbours (Å) after each atom.
Positions (direct):
Y (0.2500, 0.7500, 0.5000)  8 O 2.29-2.49
Pa (0.0000, 0.0000, 0.0000)  8 O 2.20-2.39
Tl (0.7500, 0.2500, 0.5000)  4 O 2.14
Tl (0.5000, 0.5000, 0.0000)  4 O 2.13
O (0.3383, 0.0284, 0.3100)  1 Tl 2.14, 1 Pa 2.20
O (0.2706, 0.4469, 0.1763)  1 Tl 2.13, 1 Y 2.29
O (0.2706, 0.0943, 0.8237)  1 Tl 2.13, 1 Y 2.29
O (0.7184, 0.0284, 0.6900)  1 Tl 2.14, 1 Pa 2.20
O (0.9057, 0.7294, 0.1763)  1 Tl 2.13, 1 Y 2.29
O (0.9716, 0.2816, 0.3100)  1 Tl 2.14, 1 Pa 2.20
O (0.9716, 0.6617, 0.6900)  1 Tl 2.14, 1 Pa 2.20
O (0.5531, 0.7294, 0.8237)  1 Tl 2.13, 1 Y 2.29

---

2.
DFT (GGA-PBE) results for PaTlZnO5 after structural relaxation.

Calculated values
Energy relative to the elements, uncorrected in eV/atom: -2.02
Space group: No. 15
DFT total energy in eV per cell: -108.13

abc: 6.1299 6.1299 6.6364
angles: 89.69 89.69 107.53
With the nearest neighbours (Å) after each atom.
Positions (direct):
Pa (0.3961, 0.6039, 0.2500)  5 O 2.09-2.28
Pa (0.6039, 0.3961, 0.7500)  5 O 2.09-2.28
Tl (0.0000, 0.0000, 0.5000)  4 O 2.24-2.34
Tl (0.0000, 0.0000, 0.0000)  4 O 2.24-2.34
Zn (0.7459, 0.2541, 0.2500)  4 O 1.91-2.00
Zn (0.2541, 0.7459, 0.7500)  4 O 1.91-2.00
O (0.1670, 0.8330, 0.2500)  1 Pa 2.27, 2 Tl 2.34
O (0.8330, 0.1670, 0.7500)  1 Pa 2.27, 2 Tl 2.34
O (0.0798, 0.2963, 0.2129)  1 Zn 2.00
O (0.9202, 0.7037, 0.7871)  1 Zn 2.00
O (0.7037, 0.9202, 0.2871)  1 Zn 2.00
O (0.2963, 0.0798, 0.7129)  1 Zn 2.00
O (0.6750, 0.4534, 0.4431)  1 Zn 1.91, 1 Pa 2.09
O (0.3250, 0.5466, 0.5569)  1 Zn 1.91, 1 Pa 2.09
O (0.5466, 0.3250, 0.0569)  1 Zn 1.91, 1 Pa 2.09
O (0.4534, 0.6750, 0.9431)  1 Zn 1.91, 1 Pa 2.09

---

3.
DFT (GGA-PBE) results for Pa3Tl4ZnO12 after structural relaxation.

Calculated values
Energy relative to the elements, uncorrected in eV/atom: -2.09
Space group: No. 229
DFT total energy in eV per cell: -140.57

abc: 7.5123 7.5123 7.5123
angles: 109.47 109.47 109.47
With the nearest neighbours (Å) after each atom.
Positions (direct):
Pa (0.5000, 0.0000, 0.5000)  6 O 2.15-2.17
Pa (0.5000, 0.5000, 0.0000)  6 O 2.15-2.17
Pa (0.0000, 0.5000, 0.5000)  6 O 2.15-2.17
Tl (0.5000, 0.5000, 0.5000)  12 O 3.07
Tl (0.0000, 0.0000, 0.5000)  12 O 3.07
Tl (0.5000, 0.0000, 0.0000)  12 O 3.07
Tl (0.0000, 0.5000, 0.0000)  12 O 3.07
Zn (0.0000, 0.0000, 0.0000)  6 O 2.19
O (0.2500, 0.5000, 0.7500)  2 Pa 2.17
O (0.7480, 0.0000, 0.7480)  1 Pa 2.15, 1 Zn 2.19
O (0.2520, 0.0000, 0.2520)  1 Pa 2.15, 1 Zn 2.19
O (0.7500, 0.5000, 0.2500)  2 Pa 2.17
O (0.7480, 0.7480, 0.0000)  1 Pa 2.15, 1 Zn 2.19
O (0.2520, 0.2520, 0.0000)  1 Pa 2.15, 1 Zn 2.19
O (0.7500, 0.2500, 0.5000)  2 Pa 2.17
O (0.2500, 0.7500, 0.5000)  2 Pa 2.17
O (0.5000, 0.2500, 0.7500)  2 Pa 2.17
O (0.0000, 0.7480, 0.7480)  1 Pa 2.15, 1 Zn 2.19
O (0.5000, 0.7500, 0.2500)  2 Pa 2.17
O (0.0000, 0.2520, 0.2520)  1 Pa 2.15, 1 Zn 2.19

---

4.
DFT (GGA-PBE) results for ZrPa3Tl4O12 after structural relaxation.

Calculated values
Energy relative to the elements, uncorrected in eV/atom: -2.57
Space group: No. 229
DFT total energy in eV per cell: -157.44

abc: 7.5528 7.5528 7.5528
angles: 109.47 109.47 109.47
With the nearest neighbours (Å) after each atom.
Positions (direct):
Zr (0.0000, 0.0000, 0.0000)  6 O 2.16
Pa (0.5000, 0.0000, 0.5000)  6 O 2.18-2.20
Pa (0.5000, 0.5000, 0.0000)  6 O 2.18-2.20
Pa (0.0000, 0.5000, 0.5000)  6 O 2.18-2.20
Tl (0.5000, 0.5000, 0.5000)  12 O 3.08
Tl (0.0000, 0.0000, 0.5000)  12 O 3.08
Tl (0.5000, 0.0000, 0.0000)  12 O 3.08
Tl (0.0000, 0.5000, 0.0000)  12 O 3.08
O (0.2500, 0.5000, 0.7500)  2 Pa 2.18
O (0.7523, 0.0000, 0.7523)  1 Zr 2.16, 1 Pa 2.20
O (0.2477, 0.0000, 0.2477)  1 Zr 2.16, 1 Pa 2.20
O (0.7500, 0.5000, 0.2500)  2 Pa 2.18
O (0.7523, 0.7523, 0.0000)  1 Zr 2.16, 1 Pa 2.20
O (0.2477, 0.2477, 0.0000)  1 Zr 2.16, 1 Pa 2.20
O (0.7500, 0.2500, 0.5000)  2 Pa 2.18
O (0.2500, 0.7500, 0.5000)  2 Pa 2.18
O (0.5000, 0.2500, 0.7500)  2 Pa 2.18
O (0.0000, 0.7523, 0.7523)  1 Zr 2.16, 1 Pa 2.20
O (0.5000, 0.7500, 0.2500)  2 Pa 2.18
O (0.0000, 0.2477, 0.2477)  1 Zr 2.16, 1 Pa 2.20

---

5.
DFT (GGA-PBE) results for TmPa2O6 after structural relaxation.

Calculated values
Energy relative to the elements, uncorrected in eV/atom: -3.67
Space group: No. 164
DFT total energy in eV per cell: -86.28

abc: 3.8569 3.8569 9.2222
angles: 90.00 90.00 120.00
With the nearest neighbours (Å) after each atom.
Positions (direct):
Tm (0.0000, 0.0000, 0.0000)  8 O 2.34-2.38
Pa (0.3333, 0.6667, 0.6743)  8 O 2.18-2.39
Pa (0.6667, 0.3333, 0.3257)  8 O 2.18-2.39
O (0.0000, 0.0000, 0.2541)  3 Pa 2.32, 1 Tm 2.34
O (0.3333, 0.6667, 0.9102)  1 Pa 2.18, 3 Tm 2.38
O (0.6667, 0.3333, 0.5854)  4 Pa 2.37-2.39
O (0.6667, 0.3333, 0.0898)  1 Pa 2.18, 3 Tm 2.38
O (0.0000, 0.0000, 0.7459)  3 Pa 2.32, 1 Tm 2.34
O (0.3333, 0.6667, 0.4146)  4 Pa 2.37-2.39

---

6.
DFT (GGA-PBE) results for TmPa4O10 after structural relaxation.

Calculated values
Energy relative to the elements, uncorrected in eV/atom: -3.63
Space group: No. 166
DFT total energy in eV per cell: -146.51

abc: 3.8581 3.8581 15.6983
angles: 82.94 82.94 60.00
With the nearest neighbours (Å) after each atom.
Positions (direct):
Tm (0.0000, 0.0000, 0.0000)  8 O 2.34-2.38
Pa (0.3978, 0.3978, 0.8067)  8 O 2.18-2.41
Pa (0.7995, 0.7995, 0.6014)  8 O 2.36-2.37
Pa (0.2005, 0.2005, 0.3986)  8 O 2.36-2.37
Pa (0.6022, 0.6022, 0.1933)  8 O 2.18-2.41
O (0.9498, 0.9498, 0.1505)  3 Pa 2.32, 1 Tm 2.34
O (0.1496, 0.1496, 0.5511)  4 Pa 2.36-2.37
O (0.5506, 0.5506, 0.3481)  4 Pa 2.36-2.41
O (0.3511, 0.3511, 0.9467)  1 Pa 2.18, 3 Tm 2.38
O (0.7489, 0.7489, 0.7533)  4 Pa 2.36-2.38
O (0.6489, 0.6489, 0.0533)  1 Pa 2.18, 3 Tm 2.38
O (0.8504, 0.8504, 0.4489)  4 Pa 2.36-2.37
O (0.2511, 0.2511, 0.2467)  4 Pa 2.36-2.38
O (0.0502, 0.0502, 0.8495)  3 Pa 2.32, 1 Tm 2.34
O (0.4494, 0.4494, 0.6519)  4 Pa 2.36-2.41

---

7.
DFT (GGA-PBE) results for TmPaO4 after structural relaxation.

Calculated values
Energy relative to the elements, uncorrected in eV/atom: -3.75
Space group: No. 123
DFT total energy in eV per cell: -56.27

abc: 3.7883 3.7883 5.3356
angles: 90.00 90.00 90.00
With the nearest neighbours (Å) after each atom.
Positions (direct):
Tm (0.0000, 0.0000, 0.0000)  8 O 2.34
Pa (0.5000, 0.5000, 0.5000)  8 O 2.30
O (0.5000, 0.0000, 0.7437)  2 Pa 2.30, 2 Tm 2.34
O (0.0000, 0.5000, 0.2563)  2 Pa 2.30, 2 Tm 2.34
O (0.5000, 0.0000, 0.2563)  2 Pa 2.30, 2 Tm 2.34
O (0.0000, 0.5000, 0.7437)  2 Pa 2.30, 2 Tm 2.34

---

8.
DFT (GGA-PBE) results for Tm3PaO7 after structural relaxation.

Calculated values
Energy relative to the elements, uncorrected in eV/atom: -3.59
Space group: No. 63
DFT total energy in eV per cell: -194.31

abc: 6.5520 6.5520 7.6173
angles: 90.00 90.00 109.66
With the nearest neighbours (Å) after each atom.
Positions (direct):
Tm (0.4995, 0.4995, 0.5000)  8 O 2.37-2.55
Tm (0.5005, 0.5005, 0.0000)  8 O 2.37-2.55
Tm (0.5300, 0.0087, 0.2501)  7 O 2.22-2.46
Tm (0.4700, 0.9913, 0.7501)  7 O 2.22-2.46
Tm (0.0087, 0.5300, 0.7499)  7 O 2.22-2.46
Tm (0.9913, 0.4700, 0.2499)  7 O 2.22-2.46
Pa (0.0000, 0.0000, 0.5000)  6 O 2.13-2.21
Pa (0.0000, 0.0000, 0.0000)  6 O 2.13-2.21
O (0.6579, 0.9108, 0.5312)  1 Pa 2.13, 1 Tm 2.24
O (0.3421, 0.0892, 0.0312)  1 Pa 2.13, 1 Tm 2.24
O (0.9108, 0.6579, 0.4688)  1 Pa 2.13, 1 Tm 2.24
O (0.0892, 0.3421, 0.9688)  1 Pa 2.13, 1 Tm 2.24
O (0.0897, 0.3422, 0.5311)  1 Pa 2.13, 1 Tm 2.24
O (0.9103, 0.6578, 0.0311)  1 Pa 2.13, 1 Tm 2.24
O (0.3422, 0.0897, 0.4689)  1 Pa 2.13, 1 Tm 2.24
O (0.6578, 0.9103, 0.9689)  1 Pa 2.13, 1 Tm 2.24
O (0.3634, 0.6366, 0.2500)  4 Tm 2.31-2.40
O (0.6366, 0.3634, 0.7500)  4 Tm 2.31-2.40
O (0.6317, 0.3683, 0.2500)  4 Tm 2.22-2.37
O (0.3683, 0.6317, 0.7500)  4 Tm 2.22-2.37
O (0.8961, 0.1039, 0.2500)  2 Pa 2.21, 2 Tm 2.27
O (0.1039, 0.8961, 0.7500)  2 Pa 2.21, 2 Tm 2.27

---

Among the records above, which one has the lowest energy relative to the elements, uncorrected? TmPaO4